Entry 1:
Density functional theory data (PBE-GGA) for AgRhAuSe2 after structural relaxation.

```
5
Lattice="-1.073 -1.828 -4.537 -3.547 -3.015 2.054 -3.426 3.595 -0.639" Properties=species:S:1:pos:R:3 pbc="T T T"
Rh -4.023 -0.624 -1.561
Au 0.000 0.000 0.000
Se -1.713 1.798 -0.319
Se -0.536 -0.914 -2.268
Ag -1.773 -1.508 1.027
```

Values from the calculation:
E: -3.108 eV/atom
Formation energy (no corrections): 0.981 eV per atom
V: 127.6 Å³/cell
Magnetization: 1.7 μB/f.u.

Entry 2:
Density functional theory data (PBE-GGA) for SmAgRhAu after structural relaxation.

```
4
Lattice="-0.431 3.224 -2.457 -2.626 -2.164 -2.380 -3.492 1.458 2.527" Properties=species:S:1:pos:R:3 pbc="T T T"
Sm 0.000 0.000 0.000
Ag -3.059 -0.353 0.074
Rh -1.529 0.530 -2.418
Au -1.962 2.341 0.035
```

Values from the calculation:
E: -5.039 eV/atom
V: 77.0 Å³/cell
Magnetization: 0.0 μB/f.u.
Formation energy from the elements: -0.489 eV per atom

Entry 3:
Density functional theory data (PBE-GGA) for SmAgRhAu after structural relaxation.

```
4
Lattice="-3.400 -1.958 2.821 0.278 -4.663 1.239 1.053 -1.232 4.553" Properties=species:S:1:pos:R:3 pbc="T T T"
Rh 0.000 0.000 0.000
Au -1.035 -3.926 4.306
Ag -0.517 -1.963 2.153
Sm -1.552 -5.889 6.459
```

Values from the calculation:
E: -4.919 eV/atom
V: 79.8 Å³/cell
Magnetization: 0.0 μB/f.u.
Formation energy from the elements: -0.369 eV per atom

Entry 4:
Density functional theory data (PBE-GGA) for TbAgRhAu after structural relaxation.

```
4
Lattice="4.780 0.000 0.000 2.390 4.140 0.000 2.390 1.380 3.903" Properties=species:S:1:pos:R:3 pbc="T T T"
Tb 0.000 0.000 0.000
Rh 7.171 4.140 2.927
Au 2.390 1.380 0.976
Ag 4.780 2.760 1.952
```

Values from the calculation:
E: -4.951 eV/atom
V: 77.2 Å³/cell
Magnetization: 0.0 μB/f.u.
Formation energy from the elements: -0.423 eV per atom